A plane-wave DFT calculation with PBE-GGA was carried out for an optimized crystal structure of Pm6Te3Pb.

```
data_Pm6Te3Pb
_chemical_formula_sum 'Pm12 Te6 Pb2'
_cell_length_a 12.472
_cell_length_b 4.290
_cell_length_c 12.897
_cell_angle_alpha 90.00
_cell_angle_beta 105.23
_cell_angle_gamma 90.00
_space_group_name_H-M_alt 'P 1'
_space_group_IT_number 1
_space_group_name_Hall 'P 1'
loop_
_atom_site_label
_atom_site_fract_x
_atom_site_fract_y
_atom_site_fract_z
Pm1 0.013 0.250 0.357
Pm2 0.087 0.250 0.895
Pm3 0.252 0.750 0.294
Pm4 0.292 0.750 0.759
Pm5 0.380 0.250 0.540
Pm6 0.438 0.750 0.117
Pm7 0.562 0.250 0.883
Pm8 0.620 0.750 0.460
Pm9 0.708 0.250 0.241
Pm10 0.748 0.250 0.706
Pm11 0.913 0.750 0.105
Pm12 0.987 0.750 0.643
Te1 0.103 0.250 0.145
Te2 0.174 0.750 0.508
Te3 0.341 0.250 0.942
Te4 0.659 0.750 0.058
Te5 0.826 0.250 0.492
Te6 0.897 0.750 0.855
Pb1 0.456 0.250 0.310
Pb2 0.544 0.750 0.690
```

density of states at the Fermi level = 0.982 states/eV/atom
formation energy without anion corrections = -0.90 eV/atom
raw total energy = -5.068 eV/atom